[1]
## LuIr (meta-GGA SCAN)

Data for a PBEsol-optimized structure of LuIr.

Cell and atoms, written as POSCAR:
```
LuIr
1.0
3.2278 0.0000 0.0000
0.0000 3.2278 0.0000
0.0000 0.0000 3.4543
Ir Lu
1 1
Cartesian
1.6139 1.6139 0.0000
0.0000 0.0000 1.7272
```

Computed properties:
The value obtained for the total energy is -64.4154 eV per atom. For the formation energy, the calculation gives -1.19 eV/atom. As for the magnetic moment: 0.00 μB/cell.



[2]
## Mn2FeRhI (meta-GGA SCAN)

Data for a PBEsol-optimized structure of Mn2FeRhI.

Cell and atoms, written as POSCAR:
```
Mn2FeRhI
1.0
4.5964 0.0000 0.0000
0.0000 4.8016 0.0000
0.0000 0.0000 4.8016
I Mn Rh Fe
1 2 1 1
Cartesian
2.2982 2.4008 2.4008
0.0000 0.0000 2.4008
0.0000 2.4008 0.0000
0.0000 0.0000 0.0000
2.2982 0.0000 0.0000
```

Computed properties:
The value obtained for the total energy is -24.5097 eV per atom. The formation energy (no corrections) is 0.521 eV per atom. As for the magnetic moment: 12.68 μB/cell.



[3]
## Ti3CrSn2P6O24 (meta-GGA SCAN)

Data for a PBEsol-optimized structure of Ti3CrSn2P6O24.

Cell and atoms, written as POSCAR:
```
Ti3CrSn2P6O24
1.0
8.4588 0.0000 0.0000
4.2294 7.3256 0.0000
4.2294 2.4419 7.5737
Ti Cr Sn P O
3 1 2 6 24
Cartesian
4.2294 2.4418 4.2429
8.4588 4.8837 7.2000
8.4588 4.8837 0.4395
12.6882 7.3256 3.4295
12.6882 7.3256 0.3553
8.4588 4.8837 4.0266
6.6227 7.3007 5.6329
7.2837 2.0851 5.6329
5.4363 4.5578 1.8973
9.6879 7.6643 1.8973
10.2523 2.4290 1.8973
11.4700 5.2653 5.6329
2.6188 2.2610 0.6074
4.8781 3.9271 0.6074
7.3657 8.6277 5.4072
5.1914 1.1374 0.6074
5.7826 6.8611 4.4311
7.6886 6.1686 5.8018
5.7630 2.0651 5.4072
7.7311 3.5742 5.8018
5.2856 3.6690 3.1274
9.9567 4.9082 5.8018
4.6221 5.8834 2.0653
8.9935 8.2391 3.1274
8.0845 1.5773 4.4311
12.2477 3.9584 5.4072
6.9221 4.8847 1.7003
11.5094 6.2127 4.4311
9.2281 6.2141 1.7003
11.2429 7.7066 2.0653
9.2263 3.5523 1.7003
11.0974 2.7430 3.1274
11.7992 8.6634 6.9447
9.5114 1.0611 2.0653
11.9742 5.8867 6.9447
14.2914 7.4266 6.9447
```

Computed properties:
The value obtained for the total energy is -12.3209 eV per atom. The formation energy (no corrections) is -2.592 eV per atom. As for the magnetic moment: 4.02 μB/cell.